Compound: La5Sm4Tm2
Source: the Alexandria database
Functional: GGA-PBE
Structure: optimized geometry Values from VASP.

Results
The energy above the most stable polymorph in this dataset is 0.000 eV/atom. The raw total energy is -4.691 eV/atom. The calculation puts the density of states at the Fermi level at 1.495 states/eV per atom. As for the space-group type: C2/m. The crystal system is monoclinic.

```
&SYSTEM
  ibrav = 0, nat = 11, ntyp = 3
/
ATOMIC_SPECIES
La 138.91 La.upf
Sm 150.36 Sm.upf
Tm 168.93 Tm.upf
CELL_PARAMETERS angstrom
9.0015 -1.7931 0.0000
9.0015 1.7931 0.0000
-0.8067 0.0000 11.7787
ATOMIC_POSITIONS crystal
La 0.0000 0.0000 0.0000
La 0.3218 0.3218 0.9235
La 0.4039 0.4039 0.4628
La 0.5961 0.5961 0.5372
La 0.6782 0.6782 0.0765
Sm 0.1415 0.1415 0.7973
Sm 0.4612 0.4612 0.7361
Sm 0.5388 0.5388 0.2639
Sm 0.8585 0.8585 0.2027
Tm 0.2161 0.2161 0.3577
Tm 0.7839 0.7839 0.6423
```